Li5Pr2Pd12: optimized geometry, GGA-PBE.

The structure in extended XYZ format:
```
19
Lattice="4.491 2.593 4.545 -4.491 2.593 4.545 0.000 -5.186 4.545" Properties=species:S:1:pos:R:3 pbc="T T T"
Li -4.491 0.000 6.818
Li -2.246 1.297 2.273
Li 0.000 0.000 1.221
Li 2.246 1.297 2.273
Li 0.000 0.000 12.415
Pr 0.000 0.000 4.764
Pr 0.000 0.000 8.871
Pd -1.375 -2.804 4.545
Pd -3.116 0.211 4.545
Pd -2.320 -1.340 6.679
Pd 1.375 -2.804 4.545
Pd -1.741 2.593 4.545
Pd 0.000 -2.679 6.956
Pd -2.320 1.340 6.956
Pd 2.320 -1.340 6.679
Pd 0.000 2.679 6.679
Pd 3.116 0.211 4.545
Pd 1.741 2.593 4.545
Pd 2.320 1.340 6.956
```

Computed properties:
Calculated formation energy in eV per atom: -0.503
Raw total energy in eV/atom: -4.79
Volume in Å³/atom: 16.72
Crystal system: trigonal

LiPr2Pd2: optimized geometry, GGA-PBE.

The structure in extended XYZ format:
```
10
Lattice="-3.648 5.766 2.964 3.648 -5.766 2.964 3.648 5.766 -2.964" Properties=species:S:1:pos:R:3 pbc="T T T"
Li 0.000 0.000 1.482
Li 0.000 0.000 4.446
Pr 4.839 1.658 0.000
Pr 1.191 4.108 0.000
Pr 2.456 1.658 2.964
Pr -1.191 4.108 2.964
Pd 1.846 1.266 0.000
Pd 1.846 -1.266 2.964
Pd 1.801 7.032 0.000
Pd 1.801 4.500 2.964
```

Computed properties:
Calculated formation energy in eV per atom: -0.526
Energy above the most stable polymorph in this dataset in meV per atom: 81.7
Raw total energy in eV/atom: -4.90
Volume in Å³/atom: 24.93
Crystal system: orthorhombic

LiPrPd: optimized geometry, GGA-PBE.

The structure in extended XYZ format:
```
3
Lattice="-1.828 1.828 4.902 1.828 -1.828 4.902 1.828 1.828 -4.902" Properties=species:S:1:pos:R:3 pbc="T T T"
Li 0.000 0.000 0.000
Pr 0.000 0.000 2.876
Pd 0.000 0.000 6.132
```

Computed properties:
Calculated formation energy in eV per atom: -0.384
Energy above the most stable polymorph in this dataset in meV per atom: 145.1
Raw total energy in eV/atom: -4.35
Volume in Å³/atom: 21.85
Crystal system: tetragonal

Li6PrPd6: optimized geometry, GGA-PBE.

The structure in extended XYZ format:
```
13
Lattice="-2.696 4.254 4.642 2.696 -4.254 4.642 2.696 4.254 -4.642" Properties=species:S:1:pos:R:3 pbc="T T T"
Li 0.000 0.000 1.320
Li 2.696 1.314 0.000
Li 2.696 0.000 2.699
Li 0.000 4.254 1.943
Li 0.000 2.940 4.642
Li 0.000 0.000 7.964
Pr 0.000 0.000 4.642
Pd 1.348 2.127 -2.321
Pd 1.348 -2.127 2.321
Pd 0.000 2.441 0.000
Pd -1.348 2.127 2.321
Pd 1.348 2.127 2.321
Pd 0.000 6.067 0.000
```

Computed properties:
Calculated formation energy in eV per atom: -0.466
Raw total energy in eV/atom: -4.11
Volume in Å³/atom: 16.38
Crystal system: orthorhombic

Li2Pr3Pd3: optimized geometry, GGA-PBE.

The structure in extended XYZ format:
```
16
Lattice="8.667 0.000 0.000 -4.333 7.506 0.000 0.000 0.000 5.752" Properties=species:S:1:pos:R:3 pbc="T T T"
Li 0.000 5.004 0.000
Li 0.000 5.004 2.876
Li 4.333 2.502 0.000
Li 4.333 2.502 2.876
Pr -1.157 2.005 1.438
Pr -3.176 5.501 4.314
Pr 2.315 0.000 1.438
Pr 1.157 2.005 4.314
Pr 6.352 0.000 4.314
Pr 3.176 5.501 1.438
Pd -1.707 2.957 4.314
Pd -2.626 4.549 1.438
Pd 3.414 0.000 4.314
Pd 1.707 2.957 1.438
Pd 5.253 0.000 1.438
Pd 2.626 4.549 4.314
```

Computed properties:
Calculated formation energy in eV per atom: -0.536
Raw total energy in eV/atom: -4.75
Volume in Å³/atom: 23.38
Crystal system: hexagonal

LiPr3Pd3: optimized geometry, GGA-PBE.

The structure in extended XYZ format:
```
14
Lattice="2.136 -5.390 0.000 2.136 5.390 0.000 0.000 0.000 14.387" Properties=species:S:1:pos:R:3 pbc="T T T"
Li 0.000 0.000 0.000
Li 0.000 0.000 7.194
Pr 2.136 5.131 10.790
Pr 2.136 2.181 8.708
Pr 2.136 2.181 12.873
Pr 2.136 -2.181 1.514
Pr 2.136 -2.181 5.679
Pr 2.136 -5.131 3.597
Pd 2.136 2.618 3.597
Pd 2.136 0.896 1.278
Pd 2.136 0.896 5.916
Pd 2.136 -0.896 8.472
Pd 2.136 -0.896 13.109
Pd 2.136 -2.618 10.790
```

Computed properties:
Calculated formation energy in eV per atom: -0.652
Energy above the most stable polymorph in this dataset in meV per atom: 0.0
Raw total energy in eV/atom: -5.20
Volume in Å³/atom: 23.67
Crystal system: orthorhombic